1.
VASP calculation (PBE) on a relaxed Pm5Pr2Sm4 crystal.

Cell lengths 24.427, 3.509, 8.965 Å; angles 90.00, 96.62, 90.00 degrees
Space group C2/m (No. 12)
Inequivalent atoms, fractional coordinates:
1 Pm 0.000 0.000 0.000
2 Pm 0.141 0.500 0.118
3 Pm 0.232 0.500 0.825
4 Pr 0.091 0.500 0.734
5 Sm 0.046 0.500 0.361
6 Sm 0.178 0.000 0.471

Values from the calculation:
V ... 34.7 Å³/atom
ΔH_f (0 K) ... 0.13 eV/atom
Total magnetic moment ... 0.0 μB/f.u.
Polymorph energy (0 for the lowest one) ... 0.0000 eV/atom



2.
VASP calculation (PBE) on a relaxed CsVS3 crystal.

Cell lengths 5.938, 7.470, 7.573 Å; angles 62.22, 89.98, 89.89 degrees
Space group P1 (No. 1)
Inequivalent atoms, fractional coordinates:
1 Cs 0.000 0.000 0.000
2 Cs 0.499 0.638 0.705
3 V 0.133 0.373 0.281
4 V 0.633 0.264 0.424
5 S 0.010 0.506 0.986
6 S 0.433 0.136 0.271
7 S 0.452 0.565 0.264
8 S 0.510 0.131 0.719
9 S 0.932 0.501 0.435
10 S 0.953 0.071 0.442

Values from the calculation:
V ... 29.7 Å³/atom
Total magnetic moment ... 0.0 μB/f.u.
Polymorph energy (0 for the lowest one) ... 0.0030 eV/atom



3.
VASP calculation (PBE) on a relaxed LaEu2Hg crystal.

Cell lengths 4.994, 4.994, 5.231 Å; angles 90.00, 90.00, 90.00 degrees
Space group P4/mmm (No. 123)
Inequivalent atoms, fractional coordinates:
1 La 0.000 0.000 0.000
2 Eu 0.000 0.500 0.500
3 Hg 0.500 0.500 0.000

Values from the calculation:
V ... 32.6 Å³/atom
ΔH_f (0 K) ... -0.15 eV/atom
Total magnetic moment ... 15.1 μB/f.u.
Polymorph energy (0 for the lowest one) ... 0.0743 eV/atom



4.
VASP calculation (PBE) on a relaxed BaCa2MoN4 crystal.

Cell lengths 7.940, 6.412, 5.906 Å; angles 90.00, 90.00, 90.00 degrees
Space group Pmn2_1 (No. 31)
Inequivalent atoms, fractional coordinates:
1 Ba 0.000 0.149 0.000
2 Ca 0.245 0.331 0.512
3 Mo 0.000 0.805 0.526
4 N 0.000 0.100 0.487
5 N 0.000 0.764 0.841
6 N 0.196 0.680 0.406

Values from the calculation:
V ... 18.8 Å³/atom
Total magnetic moment ... 0.0 μB/f.u.



5.
VASP calculation (PBE) on a relaxed NaBi crystal.

Cell lengths 3.860, 3.860, 3.860 Å; angles 90.00, 90.00, 90.00 degrees
Space group Pm-3m (No. 221)
Inequivalent atoms, fractional coordinates:
1 Na 0.000 0.000 0.000
2 Bi 0.500 0.500 0.500

Values from the calculation:
V ... 28.8 Å³/atom
ΔH_f (0 K) ... -0.23 eV/atom
Total magnetic moment ... 0.0 μB/f.u.
Polymorph energy (0 for the lowest one) ... 0.0743 eV/atom



6.
VASP calculation (PBE) on a relaxed La2TlTc crystal.

Cell lengths 7.316, 7.316, 7.316 Å; angles 90.00, 90.00, 90.00 degrees
Space group F-43m (No. 216)
Inequivalent atoms, fractional coordinates:
1 La 0.000 0.000 0.000
2 La 0.250 0.250 0.250
3 Tl 0.000 0.000 0.500
4 Tc 0.250 0.250 0.750

Values from the calculation:
V ... 24.5 Å³/atom
ΔH_f (0 K) ... 0.15 eV/atom
Total magnetic moment ... 1.1 μB/f.u.



7.
VASP calculation (PBE) on a relaxed Sm2SnPd9 crystal.

Cell lengths 4.148, 4.148, 12.280 Å; angles 90.00, 90.00, 90.00 degrees
Space group P4/mmm (No. 123)
Inequivalent atoms, fractional coordinates:
1 Sm 0.000 0.000 0.170
2 Sn 0.000 0.000 0.500
3 Pd 0.000 0.500 0.000
4 Pd 0.000 0.500 0.343
5 Pd 0.500 0.500 0.172
6 Pd 0.500 0.500 0.500

Values from the calculation:
V ... 17.6 Å³/atom
ΔH_f (0 K) ... -0.71 eV/atom
Total magnetic moment ... 0.0 μB/f.u.



8.
VASP calculation (PBE) on a relaxed LaCoBI2 crystal.

Cell lengths 6.296, 6.296, 5.119 Å; angles 90.00, 90.00, 90.00 degrees
Space group P4/mmm (No. 123)
Inequivalent atoms, fractional coordinates:
1 La 0.000 0.000 0.000
2 Co 0.000 0.000 0.500
3 B 0.500 0.500 0.500
4 I 0.000 0.500 0.000

Values from the calculation:
V ... 40.6 Å³/atom
Total magnetic moment ... 0.9 μB/f.u.



Number 1: total energy -4.611 eV/atom. Number 2: total energy -5.453 eV/atom. Number 3: total energy -6.592 eV/atom. Number 4: total energy -7.193 eV/atom. Number 5: total energy -2.831 eV/atom. Number 6: total energy -5.492 eV/atom. Number 7: total energy -5.720 eV/atom. Number 8: total energy -3.301 eV/atom.